Entry 1:
## KGdCdSe3 (PBE)

Data for crystalline KGdCdSe3 at its relaxed geometry.

Magnetization, μB/f.u.: 0.00
SG: P2_1/m (11)
VASP energy, eV/atom: -4.18

Lattice parameters (Å, degrees): 8.6451 4.2570 10.5141 90.00 108.02 90.00
Last column: nearest neighbours and their distance in Å.
Fractional positions:
1 Gd 0.8169 0.7500 0.8685  5 Se 2.82-2.93
2 Gd 0.1831 0.2500 0.1315  5 Se 2.82-2.93
3 Se 0.0383 0.2500 0.8518  3 Gd 2.82-2.90
4 Se 0.5811 0.2500 0.8600  1 Cd 2.61
5 Se 0.9617 0.7500 0.1482  3 Gd 2.82-2.90
6 Se 0.2592 0.2500 0.4454  3 Cd 2.70-2.80
7 Se 0.4189 0.7500 0.1400  1 Cd 2.61
8 Se 0.7408 0.7500 0.5546  3 Cd 2.70-2.80
9 K 0.2565 0.7500 0.7378  4 Se 3.31-3.44
10 K 0.7435 0.2500 0.2622  4 Se 3.31-3.44
11 Cd 0.5823 0.2500 0.6117  4 Se 2.61-2.80
12 Cd 0.4177 0.7500 0.3883  4 Se 2.61-2.80

---

Entry 2:
## SrHfGa (PBE)

Data for crystalline SrHfGa at its relaxed geometry.

E above lowest polymorph, meV per atom: 0.0
Magnetization, μB/f.u.: 0.04
SG: F-43m (216)

Lattice parameters (Å, degrees): 4.9626 4.9626 4.9626 60.00 60.00 60.00
Last column: nearest neighbours and their distance in Å.
Fractional positions:
1 Hf 0.2500 0.2500 0.2500  4 Ga 3.04
2 Ga 0.0000 0.0000 0.0000  4 Hf 3.04, 4 Sr 3.04
3 Sr 0.7500 0.7500 0.7500  4 Ga 3.04

---

Entry 3:
## LiNbTlIr (PBE)

Data for crystalline LiNbTlIr at its relaxed geometry.

E above lowest polymorph, meV per atom: 0.0
Magnetization, μB/f.u.: 0.00
SG: F-43m (216)

Lattice parameters (Å, degrees): 4.5382 4.5382 4.5382 60.00 60.00 60.00
Last column: nearest neighbours and their distance in Å.
Fractional positions:
1 Li 0.7500 0.7500 0.7500  4 Nb 2.78, 4 Tl 2.78
2 Tl 0.0000 0.0000 0.0000  4 Li 2.78, 4 Ir 2.78
3 Ir 0.2500 0.2500 0.2500  4 Nb 2.78, 4 Tl 2.78
4 Nb 0.5000 0.5000 0.5000  4 Li 2.78, 4 Ir 2.78

---

Entry 4:
## PmScP2 (PBE)

Data for crystalline PmScP2 at its relaxed geometry.

Magnetization, μB/f.u.: 0.00
SG: P4/mmm (123)
VASP energy, eV/atom: -6.90

Lattice parameters (Å, degrees): 3.9712 3.9712 5.6001 90.00 90.00 90.00
Last column: nearest neighbours and their distance in Å.
Fractional positions:
1 P 0.5000 0.5000 0.0000  2 Sc 2.80, 4 Pm 2.81
2 P 0.0000 0.0000 0.5000  2 Pm 2.80, 4 Sc 2.81
3 Sc 0.5000 0.5000 0.5000  6 P 2.80-2.81
4 Pm 0.0000 0.0000 0.0000  6 P 2.80-2.81

---

Entry 5:
## ErZrSi (PBE)

Data for crystalline ErZrSi at its relaxed geometry.

Magnetization, μB/f.u.: 0.01
SG: F-43m (216)
VASP energy, eV/atom: -6.54

Lattice parameters (Å, degrees): 4.6399 4.6399 4.6399 60.00 60.00 60.00
Last column: nearest neighbours and their distance in Å.
Fractional positions:
1 Si 0.0000 0.0000 0.0000  4 Zr 2.84, 4 Er 2.84
2 Zr 0.7500 0.7500 0.7500  4 Si 2.84
3 Er 0.2500 0.2500 0.2500  4 Si 2.84

---

Entry 6:
## Cs2TcO3 (PBE)

Data for crystalline Cs2TcO3 at its relaxed geometry.

E above lowest polymorph, meV per atom: 98.3
Magnetization, μB/f.u.: 0.37
SG: Cmc2_1 (36)

Lattice parameters (Å, degrees): 6.5738 6.5738 5.9583 90.00 90.00 70.13
Last column: nearest neighbours and their distance in Å.
Fractional positions:
1 O 0.8257 0.1743 0.7027  1 Tc 1.85
2 O 0.6239 0.6011 0.9901  2 Tc 2.02
3 O 0.3989 0.3761 0.9901  2 Tc 2.02
4 O 0.1743 0.8257 0.2027  1 Tc 1.85
5 O 0.3761 0.3989 0.4901  2 Tc 2.02
6 O 0.6011 0.6239 0.4901  2 Tc 2.02
7 Cs 0.3184 0.0186 0.7500  6 O 2.95-3.26
8 Cs 0.9814 0.6816 0.7500  6 O 2.95-3.26
9 Cs 0.0186 0.3184 0.2500  6 O 2.95-3.26
10 Cs 0.6816 0.9814 0.2500  6 O 2.95-3.26
11 Tc 0.4179 0.5821 0.2340  5 O 1.85-2.02
12 Tc 0.5821 0.4179 0.7340  5 O 1.85-2.02

---

Entry 7:
## BiIr3C9O9 (PBE)

Data for crystalline BiIr3C9O9 at its relaxed geometry.

Magnetization, μB/f.u.: 0.00
SG: P-1 (2)
VASP energy, eV/atom: -7.77

Lattice parameters (Å, degrees): 7.8868 8.7641 11.5781 84.60 78.66 68.81
Last column: nearest neighbours and their distance in Å.
Fractional positions:
1 O 0.6315 0.1020 0.4253  1 C 1.17
2 O 0.7705 0.7067 0.3461  1 C 1.16
3 O 0.8034 0.6983 0.0697  1 C 1.16
4 O 0.6272 0.4276 0.2243  1 C 1.16
5 O 0.1966 0.3017 0.9303  1 C 1.16
6 O 0.3970 0.7487 0.2612  1 C 1.16
7 O 0.3685 0.8980 0.5747  1 C 1.17
8 O 0.2295 0.2933 0.6539  1 C 1.16
9 O 0.6521 0.4945 0.5414  1 C 1.16
10 O 0.6030 0.2513 0.7388  1 C 1.16
11 O 0.0017 0.8820 0.1591  1 C 1.16
12 O 0.6017 0.1474 0.0152  1 C 1.16
13 O 0.3479 0.5055 0.4586  1 C 1.16
14 O 0.6935 0.4445 0.9519  1 C 1.16
15 O 0.3983 0.8526 0.9848  1 C 1.16
16 O 0.9983 0.1180 0.8409  1 C 1.16
17 O 0.3728 0.5724 0.7757  1 C 1.16
18 O 0.3065 0.5555 0.0481  1 C 1.16
19 C 0.5327 0.1017 0.3627  1 O 1.17
20 C 0.7515 0.4950 0.8630  1 O 1.16
21 C 0.2175 0.6529 0.7925  1 O 1.16
22 C 0.8633 0.7318 0.9749  1 O 1.16
23 C 0.5132 0.1356 0.1061  1 O 1.16
24 C 0.7825 0.3471 0.2075  1 O 1.16
25 C 0.9848 0.9920 0.8321  1 O 1.16
26 C 0.0152 0.0080 0.1679  1 O 1.16
27 C 0.2703 0.4756 0.3935  1 O 1.16
28 C 0.9104 0.5998 0.3225  1 O 1.16
29 C 0.4868 0.8644 0.8939  1 O 1.16
30 C 0.1366 0.2682 0.0251  1 O 1.16
31 C 0.7297 0.5244 0.6065  1 O 1.16
32 C 0.3936 0.8821 0.2607  1 O 1.16
33 C 0.6064 0.1179 0.7393  1 O 1.16
34 C 0.0896 0.4002 0.6775  1 O 1.16
35 C 0.4673 0.8983 0.6373  1 O 1.17
36 C 0.2485 0.5050 0.1370  1 O 1.16
37 Bi 0.0510 0.1837 0.4201  3 Ir 2.77
38 Bi 0.9490 0.8163 0.5799  3 Ir 2.77
39 Ir 0.0358 0.2141 0.1816  3 C 1.89-1.92
40 Ir 0.9642 0.7859 0.8184  3 C 1.89-1.92
41 Ir 0.6236 0.8956 0.7429  3 C 1.89-1.92
42 Ir 0.8567 0.5693 0.7143  3 C 1.89-1.92
43 Ir 0.3764 0.1044 0.2571  3 C 1.89-1.92
44 Ir 0.1433 0.4307 0.2857  3 C 1.89-1.92

---

Entry 8:
## LiIrAuSeS2 (PBE)

Data for crystalline LiIrAuSeS2 at its relaxed geometry.

Magnetization, μB/f.u.: 0.00
SG: Cmcm (63)
VASP energy, eV/atom: -4.65

Lattice parameters (Å, degrees): 7.1073 7.1073 9.6637 90.00 90.00 151.75
Last column: nearest neighbours and their distance in Å.
Fractional positions:
1 Li 0.2034 0.7966 0.7500  2 Se 2.67, 2 Au 2.69, 2 S 2.79
2 Li 0.7966 0.2034 0.2500  2 Se 2.67, 2 Au 2.69, 2 S 2.79
3 S 0.1203 0.8797 0.0132  1 Au 2.32, 2 Ir 2.40
4 S 0.8797 0.1203 0.5132  1 Au 2.32, 2 Ir 2.40
5 S 0.8797 0.1203 0.9868  1 Au 2.32, 2 Ir 2.40
6 S 0.1203 0.8797 0.4868  1 Au 2.32, 2 Ir 2.40
7 Se 0.5558 0.4442 0.7500  2 Ir 2.54, 2 Li 2.67
8 Se 0.4442 0.5558 0.2500  2 Ir 2.54, 2 Li 2.67
9 Ir 0.5000 0.5000 0.5000  4 S 2.40, 2 Se 2.54
10 Ir 0.5000 0.5000 0.0000  4 S 2.40, 2 Se 2.54
11 Au 0.8526 0.1474 0.7500  2 S 2.32
12 Au 0.1474 0.8526 0.2500  2 S 2.32